Record 1
Compound: FeCuAg
Source: the Alexandria database
Functional: GGA-PBE
Structure: relaxed

Geometry as POSCAR:
```
FeCuAg
1.0
2.713 0.000 0.000
-1.356 2.349 0.000
0.000 0.000 6.689
Fe Ag Cu
1 1 1
Direct
0.333 0.667 0.651
0.000 0.000 0.002
0.667 0.333 0.347
```

Results
Its formation energy is 0.2833 eV/atom. The calculation puts the total magnetization at 2.86 μB/cell. The offset from the most stable computed form is 0.1307 eV per atom. Its space-group type is No. 156. As for the calculated volume: 42.6 Å³/cell.

Record 2
Compound: Fe2CuAg
Source: the Alexandria database
Functional: GGA-PBE
Structure: relaxed

Geometry as POSCAR:
```
Fe2CuAg
1.0
-1.195 1.936 3.881
0.062 -0.369 4.484
4.006 2.438 0.977
Fe Cu Ag
2 1 1
Direct
0.001 0.001 0.995
0.743 0.743 0.775
0.256 0.256 0.235
0.500 0.500 0.495
```

Results
Its formation energy is 0.3066 eV/atom. The calculation puts the total magnetization at 5.50 μB/cell. The offset from the most stable computed form is 0.0864 eV per atom. Its space-group type is No. 8. As for the calculated volume: 54.5 Å³/cell.

Record 3
Compound: Fe2CuAg
Source: the Alexandria database
Functional: GGA-PBE
Structure: relaxed

Geometry as POSCAR:
```
Fe2CuAg
1.0
3.568 0.000 0.000
0.000 3.568 0.000
1.784 1.784 9.257
Ag Fe Cu
2 4 2
Direct
0.750 0.250 0.500
0.000 0.000 0.000
0.875 0.857 0.750
0.143 0.625 0.250
0.375 0.393 0.750
0.607 0.125 0.250
0.250 0.750 0.500
0.500 0.500 0.000
```

Results
Its formation energy is 0.6072 eV/atom. The calculation puts the total magnetization at 11.72 μB/cell. The offset from the most stable computed form is 0.3870 eV per atom. Its space-group type is No. 122. As for the calculated volume: 117.9 Å³/cell.

Record 4
Compound: Fe2CuAg
Source: the Alexandria database
Functional: GGA-PBE
Structure: relaxed

Geometry as POSCAR:
```
Fe2CuAg
1.0
9.050 0.006 0.003
8.662 2.621 0.003
8.662 1.284 2.284
Fe Cu Ag
2 1 1
Direct
0.005 0.005 0.005
0.495 0.495 0.495
0.750 0.750 0.750
0.250 0.250 0.250
```

Results
Its formation energy is 0.3283 eV/atom. The calculation puts the total magnetization at 5.00 μB/cell. The offset from the most stable computed form is 0.1081 eV per atom. Its space-group type is No. 166. As for the calculated volume: 54.0 Å³/cell.

Record 5
Compound: Fe2CuAg
Source: the Alexandria database
Functional: GGA-PBE
Structure: relaxed

Geometry as POSCAR:
```
Fe2CuAg
1.0
-3.692 3.343 -0.362
-2.507 0.013 -4.319
1.299 -2.651 4.028
Ag Fe Cu
1 2 1
Direct
0.499 0.499 0.000
0.230 0.730 0.500
0.008 0.008 0.000
0.763 0.263 0.500
```

Results
Its formation energy is 0.3472 eV/atom. The calculation puts the total magnetization at 5.37 μB/cell. The offset from the most stable computed form is 0.1270 eV per atom. Its space-group type is No. 44. As for the calculated volume: 54.7 Å³/cell.

Record 6
Compound: Fe2CuAg
Source: the Alexandria database
Functional: GGA-PBE
Structure: relaxed

Geometry as POSCAR:
```
Fe2CuAg
1.0
-0.265 1.180 -4.612
2.108 -3.132 -2.911
-3.160 -0.337 3.554
Fe Cu Ag
2 1 1
Direct
0.500 0.500 0.000
0.000 0.000 0.000
0.750 0.250 0.500
0.250 0.750 0.500
```

Results
Its formation energy is 0.3244 eV/atom. The calculation puts the total magnetization at 5.57 μB/cell. The offset from the most stable computed form is 0.1042 eV per atom. Its space-group type is No. 139. As for the calculated volume: 54.1 Å³/cell.

- Which value of calculated volume does entry 6 give?
  54.1 Å³/cell